Below is a relaxed structure of CaCr2AsO6, with properties calculated at the PBE with a Hubbard U level.

Properties
* total magnetic moment: 0.70 μB/atom
* space group: No. 1
* raw total energy: -7.01 eV/atom

Structure (POSCAR):
```
CaCr2AsO6
1.0
5.184 0.000 0.000
2.568 4.537 0.000
0.046 2.738 4.924
Ca Cr As O
1 2 1 6
Direct
0.000 0.000 0.000
0.214 0.576 0.615
0.717 0.547 0.161
0.530 0.942 0.569
0.187 0.024 0.376
0.336 0.101 0.801
0.453 0.385 0.375
0.567 0.524 0.821
0.799 0.763 0.373
0.905 0.742 0.819
```